The following is a PBE+U calculation of a geometry-optimized Li2TlWO4 structure, from Alexandria.

a = 5.513 Å, b = 5.513 Å, c = 7.812 Å
α = 90.00°, β = 90.00°, γ = 90.00°
Space group I-42m (No. 121)
One atom of each set of equivalent atoms:
Li  0.000  0.500  0.250 (multiplicity 4)
Tl  0.000  0.000  0.000 (multiplicity 2)
W  0.000  0.000  0.500 (multiplicity 2)
O  0.189  0.189  0.346 (multiplicity 8)

Results
Total DFT energy (no corrections)   -5.8132 eV per atom
Mass density   6.52 g/cm³
Volume   237.5 Å³ per cell
Size of the total moment   0.125 μB/atom